The following is a PBE calculation of a geometry-optimized TmAlBIr2 structure, from the Alexandria database.

Values from the calculation:
- E_form: -756.7 meV/atom
- Space group: No. 63
- Total moment: 0.00 μB/cell
- Volume: 16.3 Å³ per atom

Lattice parameters (Å, degrees): 6.0019 6.0019 7.2652 90.00 90.00 141.60
Fractional positions:
Tm: 0.0514 0.9486 0.7500
Tm: 0.9486 0.0514 0.2500
Al: 0.2293 0.7707 0.2500
Al: 0.7707 0.2293 0.7500
B: 0.5000 0.5000 0.0000
B: 0.5000 0.5000 0.5000
Ir: 0.3345 0.6655 0.5576
Ir: 0.3345 0.6655 0.9424
Ir: 0.6655 0.3345 0.0576
Ir: 0.6655 0.3345 0.4424

---

The following is a PBE calculation of a geometry-optimized KSr2Rh3O8 structure, from the Alexandria database.

Values from the calculation:
- Space group: No. 160
- Total moment: 0.00 μB/cell
- Formation energy (no corrections): -1.407 eV/atom
- Volume: 14.9 Å³ per atom

Lattice parameters (Å, degrees): 6.8014 6.8014 6.8014 57.42 57.42 57.42
Fractional positions:
K: 0.0000 0.0000 0.0000
Sr: 0.3710 0.3710 0.3710
Sr: 0.7570 0.7570 0.7570
Rh: 0.3717 0.3717 0.8770
Rh: 0.3717 0.8770 0.3717
Rh: 0.8770 0.3717 0.3717
O: 0.1189 0.1189 0.5523
O: 0.1189 0.5523 0.1189
O: 0.1481 0.1481 0.1481
O: 0.1891 0.6237 0.6237
O: 0.5523 0.1189 0.1189
O: 0.6020 0.6020 0.6020
O: 0.6237 0.1891 0.6237
O: 0.6237 0.6237 0.1891